The following is a PBE calculation of a relaxed structure of PaBiHO6, from the Alexandria database.

abc: 5.082 5.082 5.044
angles: 90.00 90.00 120.00
Fractional coordinates of all 9 atoms:
Pa  0.000  0.000  0.000
Bi  0.333  0.667  0.500
H  0.667  0.333  0.500
O  0.350  0.019  0.261
O  0.350  0.331  0.739
O  0.669  0.019  0.739
O  0.669  0.650  0.261
O  0.981  0.331  0.261
O  0.981  0.650  0.739

Properties
E_tot (eV per atom): -6.47